Entry 1:
Material: Y3MgZn2Ir2Pd
Method: DFT, PBE-GGA
State: relaxed

ρ	8435	kg/m3
energy	-5.865	eV/atom
calculated volume	180	Å³/cell

```
Y3MgZn2Ir2Pd
1.0
3.951 0.000 0.000
0.000 6.289 3.616
0.000 -6.289 3.616
Ir Mg Pd Y Zn
2 1 1 3 2
direct
0.000 0.665 0.333 Ir
0.000 0.333 0.665 Ir
0.000 0.243 0.243 Mg
0.500 0.995 0.995 Pd
0.500 0.994 0.418 Y
0.500 0.597 0.597 Y
0.500 0.418 0.994 Y
0.000 0.750 0.004 Zn
0.000 0.004 0.750 Zn
```



Entry 2:
Material: PmMg2Ir
Method: DFT, PBE-GGA
State: relaxed

ρ	7187	kg/m3
energy	-4.637	eV/atom
calculated volume	178	Å³/cell

```
PmMg2Ir
1.0
-5.165 1.505 -1.124
3.085 -0.254 4.541
2.575 7.858 -1.310
Ir Mg Pm
2 4 2
direct
0.766 0.234 0.250 Ir
0.234 0.766 0.750 Ir
0.343 0.657 0.057 Mg
0.343 0.657 0.443 Mg
0.657 0.343 0.557 Mg
0.657 0.343 0.943 Mg
0.062 0.938 0.250 Pm
0.938 0.062 0.750 Pm
```



Entry 3:
Material: PmMgIr
Method: DFT, PBE-GGA
State: relaxed

ρ	7877	kg/m3
energy	-4.763	eV/atom
calculated volume	76	Å³/cell

```
PmMgIr
1.0
3.667 -3.026 -0.211
0.914 -2.891 3.668
-0.793 -4.675 -0.400
Ir Mg Pm
1 1 1
direct
0.500 0.500 0.500 Ir
0.000 0.000 0.000 Mg
0.250 0.250 0.250 Pm
```



Entry 4:
Material: PrMgIr
Method: DFT, PBE-GGA
State: relaxed

ρ	7487	kg/m3
energy	-4.714	eV/atom
calculated volume	79	Å³/cell

```
PrMgIr
1.0
-2.923 -3.225 2.075
-2.082 1.004 4.232
-4.744 0.834 0.216
Ir Mg Pr
1 1 1
direct
0.250 0.250 0.250 Ir
0.750 0.750 0.750 Mg
0.000 0.000 0.000 Pr
```



Entry 5:
Material: PrMgIr
Method: DFT, PBE-GGA
State: relaxed

ρ	8907	kg/m3
energy	-5.640	eV/atom
calculated volume	267	Å³/cell

```
PrMgIr
1.0
7.277 0.000 0.000
0.000 4.208 0.000
0.000 0.000 8.705
Ir Mg Pr
4 4 4
direct
0.745 0.750 0.126 Ir
0.245 0.750 0.374 Ir
0.755 0.250 0.626 Ir
0.255 0.250 0.874 Ir
0.367 0.750 0.058 Mg
0.867 0.750 0.442 Mg
0.133 0.250 0.558 Mg
0.633 0.250 0.942 Mg
0.038 0.250 0.178 Pr
0.538 0.250 0.322 Pr
0.462 0.750 0.678 Pr
0.962 0.750 0.822 Pr
```



Entry 6:
Material: Pr3Mg3IrPt2
Method: DFT, PBE-GGA
State: relaxed

ρ	8711	kg/m3
energy	-5.220	eV/atom
calculated volume	205	Å³/cell

```
Pr3Mg3IrPt2
1.0
-6.411 3.850 0.705
0.215 -6.192 -4.246
-1.031 -2.331 3.346
Ir Mg Pr Pt
1 3 3 2
direct
0.000 0.000 0.500 Ir
0.237 0.000 0.000 Mg
0.000 0.237 0.000 Mg
0.763 0.763 0.000 Mg
0.593 0.000 0.500 Pr
0.407 0.407 0.500 Pr
0.000 0.593 0.500 Pr
0.667 0.333 0.000 Pt
0.333 0.667 0.000 Pt
```



Entry 7:
Material: PrSm2Mg3Ir2Pt
Method: DFT, PBE-GGA
State: relaxed

ρ	9193	kg/m3
energy	-5.459	eV/atom
calculated volume	198	Å³/cell

```
PrSm2Mg3Ir2Pt
1.0
-2.829 1.835 -2.332
-5.347 -2.335 4.650
3.328 6.580 1.140
Ir Mg Pr Pt Sm
2 3 1 1 2
direct
0.500 0.668 0.333 Ir
0.500 0.333 0.668 Ir
0.500 0.999 0.244 Mg
0.500 0.757 0.757 Mg
0.500 0.244 0.999 Mg
0.000 0.416 0.416 Pr
0.000 0.998 0.998 Pt
0.000 0.585 0.000 Sm
0.000 0.000 0.585 Sm
```



Entry 8:
Material: TbPr2Mg3Ir2Pt
Method: DFT, PBE-GGA
State: relaxed

ρ	9173	kg/m3
energy	-5.452	eV/atom
calculated volume	198	Å³/cell

```
TbPr2Mg3Ir2Pt
1.0
-2.055 -2.256 -2.743
4.079 -5.964 1.851
-6.372 1.413 3.611
Ir Mg Pr Pt Tb
2 3 2 1 1
direct
0.500 0.659 0.336 Ir
0.500 0.336 0.659 Ir
0.500 0.245 0.004 Mg
0.500 0.004 0.245 Mg
0.500 0.753 0.753 Mg
0.000 0.584 0.000 Pr
0.000 0.000 0.584 Pr
0.000 0.007 0.007 Pt
0.000 0.411 0.411 Tb
```



Looking at magnetic moment for the records above, in order, we have 0.00, 0.00, 0.00, 0.01, 0.00, 0.01, 0.01, 0.00 μB per formula unit.